[1]
A plane-wave DFT calculation with PBE was carried out for a relaxed structure of Sm3Rh2.

```
10
Lattice="-3.2771 2.1564 4.9710 -6.0487 -4.7536 -1.9256 6.6932 -2.4933 1.4606" Properties=species:S:1:pos:R:3 pbc="T T T"
Sm -2.4578 1.6173 3.7282
Sm -0.8193 0.5391 1.2427
Sm 0.5437 -0.8816 4.7743
Sm -3.2200 -1.8773 2.7250
Sm 0.5873 -3.2132 1.7811
Sm -3.1764 -4.2089 -0.2683
Rh -1.2438 -2.0350 0.0628
Rh -1.3889 -3.0555 4.4432
Rh 3.0138 -1.9614 2.8377
Rh -5.6465 -3.1291 1.6683
```

The relative energy among the computed polymorphs is 0.71 eV/f.u. The space group is Ibam, No. 72. The calculation puts the total energy at -6.30 eV/atom. The calculation puts the calculated density at 8.30 g/cm3. The formation energy from the elements comes out at -0.5325 eV per atom.


[2]
A plane-wave DFT calculation with PBE was carried out for a relaxed structure of Ta4Tc5Ge.

```
10
Lattice="-1.7894 2.6348 0.0356 -1.0468 -0.7502 2.9131 11.8752 7.9797 6.3223" Properties=species:S:1:pos:R:3 pbc="T T T"
Ta 2.2851 1.5355 1.2166
Ta 4.7193 3.1712 2.5125
Ta 7.1559 4.8085 3.8097
Ta 9.5901 6.4442 5.1057
Tc -0.3000 1.6936 2.0696
Tc 2.1021 3.3077 3.3485
Tc 4.5195 4.9321 4.6355
Tc 6.9369 6.5565 5.9225
Tc 9.3390 8.1707 7.2014
Ge 0.0000 0.0000 0.0000
```

The space group is P4/mmm, No. 123. The calculation puts the total energy at -10.80 eV/atom. The calculation puts the calculated density at 13.46 g/cm3. The formation energy from the elements comes out at -0.4157 eV per atom.


[3]
A plane-wave DFT calculation with PBE was carried out for a relaxed structure of YTi2InO.

```
5
Lattice="-3.0966 -2.2317 1.9100 -0.1075 -2.6873 -3.3143 3.2764 -2.7375 2.1134" Properties=species:S:1:pos:R:3 pbc="T T T"
Y 1.6382 -1.3688 1.0567
Ti -0.0537 -1.3436 -1.6571
Ti -1.5483 -1.1159 0.9550
O 0.0000 0.0000 0.0000
In 0.0361 -3.8283 0.3545
```

The formation energy without anion corrections comes out at -26.0 kcal/mol of atoms. The space group is P4/mmm, No. 123. The calculation puts the total energy at -7.12 eV/atom. The calculation puts the calculated density at 6.04 g/cm3.


[4]
A plane-wave DFT calculation with PBE was carried out for a relaxed structure of CdSbMo2.

```
4
Lattice="5.1442 -0.0063 0.0000 1.8018 4.8183 0.0000 -3.4730 -2.4060 2.9346" Properties=species:S:1:pos:R:3 pbc="T T T"
Cd 2.5721 -0.0031 1.4673
Mo 0.0000 0.0000 0.0000
Mo 0.9009 2.4092 1.4673
Sb 3.4730 2.4060 0.0000
```

The formation energy without anion corrections comes out at 12.0 kcal/mol of atoms. The relative energy among the computed polymorphs is 1.16 eV/f.u. The space group is I-4m2, No. 119. The calculation puts the total energy at -6.15 eV/atom. The calculation puts the calculated density at 9.72 g/cm3.